1.
DFT (PBE) results for a relaxed LaPmYPu crystal.

Cell and atoms, written as extended XYZ:
```
4
Lattice="0.000 4.040 4.040 4.040 0.000 4.040 4.040 4.040 0.000" Properties=species:S:1:pos:R:3 pbc="T T T"
La 0.000 0.000 0.000
Pm 4.040 4.040 4.040
Y 2.020 2.020 2.020
Pu 6.061 6.061 6.061
```

Space-group type: F-43m (216)
E_form in kJ per mole of atoms: 20.1

***

2.
DFT (PBE) results for a relaxed SbPRh2 crystal.

Cell and atoms, written as extended XYZ:
```
4
Lattice="-1.772 2.682 3.715 1.772 -2.682 3.715 1.772 2.682 -3.715" Properties=species:S:1:pos:R:3 pbc="T T T"
Sb 0.000 0.000 0.000
P 0.000 0.000 3.715
Rh 1.772 0.000 2.318
Rh 0.000 2.682 1.397
```

Space-group type: Immm (71)
Formation energy (no corrections) in eV/atom: -0.15
Polymorph energy (0 for the lowest one) in kJ/mol of formula units: 114

***

3.
DFT (PBE) results for a relaxed LiSiMo2 crystal.

Cell and atoms, written as extended XYZ:
```
4
Lattice="2.662 -4.121 0.000 2.662 4.121 0.000 -0.668 0.000 2.582" Properties=species:S:1:pos:R:3 pbc="T T T"
Li 0.000 0.000 0.000
Si 2.662 0.000 0.000
Mo 0.997 2.060 1.291
Mo 0.997 -2.060 1.291
```

Space-group type: C2/m (12)
Formation energy (no corrections) in eV/atom: 0.09

***

4.
DFT (PBE) results for a relaxed Se2Br crystal.

Cell and atoms, written as extended XYZ:
```
3
Lattice="0.000 3.435 3.435 3.435 0.000 3.435 3.435 3.435 0.000" Properties=species:S:1:pos:R:3 pbc="T T T"
Se 1.717 1.717 1.717
Se 5.152 5.152 5.152
Br 0.000 0.000 0.000
```

Space-group type: Fm-3m (225)
Formation energy (no corrections) in eV/atom: 1.04
Polymorph energy (0 for the lowest one) in kJ/mol of formula units: 313

***

5.
DFT (PBE) results for a relaxed DyThAg3 crystal.

Cell and atoms, written as extended XYZ:
```
10
Lattice="1.717 -14.292 0.000 1.717 14.292 0.000 0.000 0.000 4.853" Properties=species:S:1:pos:R:3 pbc="T T T"
Dy 1.717 8.270 3.640
Dy 1.717 -8.270 1.213
Th 1.717 12.155 1.213
Th 1.717 -12.155 3.640
Ag 1.717 5.082 3.640
Ag 1.717 3.495 1.213
Ag 1.717 0.692 1.213
Ag 1.717 -0.692 3.640
Ag 1.717 -3.495 3.640
Ag 1.717 -5.082 1.213
```

Space-group type: Cmcm (63)
E_form in kJ per mole of atoms: -18.4

***

6.
DFT (PBE) results for a relaxed Ce3NdC8 crystal.

Cell and atoms, written as extended XYZ:
```
12
Lattice="3.789 0.000 0.000 0.000 3.789 0.000 0.000 0.000 12.740" Properties=species:S:1:pos:R:3 pbc="T T T"
Ce 0.000 0.000 0.000
Ce 1.895 1.895 3.155
Ce 1.895 1.895 9.585
Nd 0.000 0.000 6.370
C 0.000 0.000 2.499
C 0.000 0.000 3.807
C 0.000 0.000 8.932
C 0.000 0.000 10.241
C 1.895 1.895 0.657
C 1.895 1.895 5.719
C 1.895 1.895 7.020
C 1.895 1.895 12.083
```

Space-group type: P4/mmm (123)
E_form in kJ per mole of atoms: -13.5
Polymorph energy (0 for the lowest one) in kJ/mol of formula units: 0

***

7.
DFT (PBE) results for a relaxed Sn5Te6 crystal.

Cell and atoms, written as extended XYZ:
```
11
Lattice="3.816 -6.640 0.000 3.816 6.640 0.000 -2.565 0.000 7.275" Properties=species:S:1:pos:R:3 pbc="T T T"
Sn 0.000 0.000 0.000
Sn 2.534 4.500 3.637
Sn 3.816 2.327 0.000
Sn 3.816 -2.327 0.000
Sn 2.534 -4.500 3.637
Te 1.278 2.200 1.836
Te -0.016 0.000 5.459
Te 1.278 -2.200 1.836
Te 3.789 2.200 5.439
Te 5.083 0.000 1.816
Te 3.789 -2.200 5.439
```

Space-group type: C2/m (12)
Formation energy (no corrections) in eV/atom: -0.24

***

8.
DFT (PBE) results for a relaxed NaTb5Hg3 crystal.

Cell and atoms, written as extended XYZ:
```
18
Lattice="9.170 0.000 0.000 -4.585 7.941 0.000 0.000 0.000 6.774" Properties=species:S:1:pos:R:3 pbc="T T T"
Na 0.000 0.000 0.000
Na 0.000 0.000 3.387
Tb -1.461 2.530 1.693
Tb -3.124 5.411 5.080
Tb 2.922 0.000 1.693
Tb 1.461 2.530 5.080
Tb 0.000 5.294 0.000
Tb 0.000 5.294 3.387
Tb 4.585 2.647 0.000
Tb 4.585 2.647 3.387
Tb 6.248 0.000 5.080
Tb 3.124 5.411 1.693
Hg -1.605 2.780 5.080
Hg -2.980 5.161 1.693
Hg 3.211 0.000 5.080
Hg 1.605 2.780 1.693
Hg 5.959 0.000 1.693
Hg 2.980 5.161 5.080
```

Space-group type: P6_3/mcm (193)
E_form in kJ per mole of atoms: -24.3

***

Number 1: volume 33.0 Å³ per atom, E -7.4106 eV/atom. Number 2: volume 17.7 Å³ per atom, E -6.2090 eV/atom. Number 3: volume 14.2 Å³ per atom, E -7.1599 eV/atom. Number 4: volume 27.0 Å³ per atom, E -1.8456 eV/atom. Number 5: volume 23.8 Å³ per atom, E -4.3058 eV/atom. Number 6: volume 15.2 Å³ per atom, E -8.1700 eV/atom. Number 7: volume 33.5 Å³ per atom, E -3.7705 eV/atom. Number 8: volume 27.4 Å³ per atom, E -3.0718 eV/atom.